No. 1
This record from the Alexandria database describes TcBiTeI2 after structural relaxation. The functional is GGA-PBE.

abc: 5.414 5.414 5.255
angles: 90.00 90.00 90.00
Sites, in units of the cell vectors:
Tc  0.000  0.000  0.000
Bi  0.500  0.500  0.500
Te  0.000  0.000  0.500
I  0.000  0.500  0.000
I  0.500  0.000  0.000

Computed properties:
ΔE to the lowest computed polymorph = 0 meV per atom
formation energy from raw total energies = 0.482 eV/atom

---

No. 2
This record from the Alexandria database describes La3Dy7 after structural relaxation. The functional is GGA-PBE.

abc: 8.881 8.881 7.062
angles: 101.68 101.68 37.62
Sites, in units of the cell vectors:
La  0.000  0.000  0.000
La  0.215  0.215  0.849
La  0.785  0.785  0.151
Dy  0.000  0.000  0.500
Dy  0.210  0.210  0.358
Dy  0.399  0.399  0.203
Dy  0.404  0.404  0.692
Dy  0.596  0.596  0.308
Dy  0.601  0.601  0.797
Dy  0.790  0.790  0.642

Computed properties:
formation enthalpy at 0 K = 46 meV/atom

---

No. 3
This record from the Alexandria database describes GeMo2AsPt after structural relaxation. The functional is GGA-PBE.

abc: 5.033 5.033 4.586
angles: 90.00 90.00 90.00
Sites, in units of the cell vectors:
Ge  0.000  0.000  0.000
Mo  0.000  0.500  0.500
Mo  0.500  0.000  0.500
As  0.500  0.500  0.000
Pt  0.500  0.500  0.500

Computed properties:
formation enthalpy at 0 K = 1497 meV/atom

---

No. 4
This record from the Alexandria database describes Sb4Ru after structural relaxation. The functional is GGA-PBE.

abc: 5.564 5.564 5.564
angles: 109.47 109.47 109.47
Sites, in units of the cell vectors:
Sb  0.000  0.000  0.500
Sb  0.000  0.500  0.000
Sb  0.500  0.000  0.000
Sb  0.500  0.500  0.500
Ru  0.000  0.000  0.000

Computed properties:
ΔE to the lowest computed polymorph = 333 meV per atom
formation energy from raw total energies = 0.278 eV/atom

---

No. 5
This record from the Alexandria database describes CdRh after structural relaxation. The functional is GGA-PBE.

abc: 3.813 3.813 3.813
angles: 60.00 60.00 60.00
Sites, in units of the cell vectors:
Cd  0.000  0.000  0.000
Rh  0.500  0.500  0.500

Computed properties:
formation enthalpy at 0 K = 464 meV/atom

---

No. 6
This record from the Alexandria database describes K2MnSnTe4 after structural relaxation. The functional is GGA-PBE.

abc: 9.081 9.081 9.081
angles: 121.48 117.98 90.50
Sites, in units of the cell vectors:
K  0.000  0.000  0.000
K  0.500  0.000  0.000
K  0.500  0.000  0.500
K  0.500  0.500  0.500
Mn  0.000  0.000  0.500
Mn  0.000  0.500  0.000
Sn  0.000  0.500  0.500
Sn  0.500  0.500  0.000
Te  0.191  0.741  0.450
Te  0.210  0.259  0.950
Te  0.216  0.234  0.518
Te  0.216  0.698  0.982
Te  0.784  0.302  0.018
Te  0.784  0.766  0.482
Te  0.790  0.741  0.050
Te  0.809  0.259  0.550

Computed properties:
formation energy from raw total energies = -0.465 eV/atom

---

No. 7
This record from the Alexandria database describes BaBePb2 after structural relaxation. The functional is GGA-PBE.

abc: 4.630 4.630 7.108
angles: 109.41 109.41 59.50
Sites, in units of the cell vectors:
Ba  0.000  0.000  0.000
Be  0.500  0.500  0.500
Pb  0.213  0.213  0.647
Pb  0.787  0.787  0.353

Computed properties:
formation enthalpy at 0 K = 13 meV/atom

---

No. 8
This record from the Alexandria database describes NbV4Os after structural relaxation. The functional is GGA-PBE.

abc: 8.476 8.476 4.975
angles: 90.00 90.00 149.78
Sites, in units of the cell vectors:
Nb  0.054  0.946  0.500
Nb  0.946  0.054  0.000
V  0.157  0.843  0.984
V  0.232  0.768  0.549
V  0.319  0.681  0.166
V  0.381  0.619  0.725
V  0.619  0.381  0.225
V  0.681  0.319  0.666
V  0.768  0.232  0.049
V  0.843  0.157  0.484
Os  0.462  0.538  0.294
Os  0.538  0.462  0.794

Computed properties:
ΔE to the lowest computed polymorph = 220 meV per atom
formation enthalpy at 0 K = 145 meV/atom

---

- What is the formula in the second record?
  La3Dy7

---

What did the first record say?
This record from the Alexandria database describes TcBiTeI2 after structural relaxation. The functional is GGA-PBE.

abc: 5.414 5.414 5.255
angles: 90.00 90.00 90.00
Sites, in units of the cell vectors:
Tc  0.000  0.000  0.000
Bi  0.500  0.500  0.500
Te  0.000  0.000  0.500
I  0.000  0.500  0.000
I  0.500  0.000  0.000

Computed properties:
ΔE to the lowest computed polymorph = 0 meV per atom
formation energy from raw total energies = 0.482 eV/atom